[1]
Density functional theory data (PBE) for Cd2SbRu after structural relaxation.

Unit cell a=3.0851 b=3.0851 c=9.0522 alpha=90.00 beta=90.00 gamma=90.00
Closest atoms and distances in Å follow each position.
Element x y z (fractional)
1 Cd 0.0000 0.0000 0.2032  4 Ru 2.85, 4 Cd 3.09
2 Cd 0.0000 0.0000 0.7968  4 Ru 2.85, 4 Cd 3.09
3 Sb 0.5000 0.5000 0.5000  4 Sb 3.09
4 Ru 0.5000 0.5000 0.0000  8 Cd 2.85, 4 Ru 3.09

Output
**Calculated total energy**: -3.474 eV per atom
**Magnetization**: 1.2 μB per formula unit



[2]
Density functional theory data (PBE) for Cd2SbRu after structural relaxation.

Unit cell a=7.2337 b=7.2337 c=7.2337 alpha=155.70 beta=145.58 gamma=42.58
Closest atoms and distances in Å follow each position.
Element x y z (fractional)
1 Cd 0.1879 0.1879 0.0000  2 Ru 2.96, 6 Cd 3.04-3.11
2 Cd 0.8121 0.8121 0.0000  2 Ru 2.96, 6 Cd 3.04-3.11
3 Sb 0.5000 0.0000 0.5000  4 Ru 2.63
4 Ru 0.0000 0.5000 0.5000  4 Sb 2.63

Output
**Calculated total energy**: -3.684 eV per atom
**Magnetization**: 0.0 μB per formula unit



[3]
Density functional theory data (PBE) for Cd2Sb2Ru after structural relaxation.

Unit cell a=6.8266 b=6.8266 c=5.1029 alpha=90.00 beta=90.00 gamma=90.00
Closest atoms and distances in Å follow each position.
Element x y z (fractional)
1 Cd 0.1707 0.3293 0.0000  6 Sb 3.07-3.37, 1 Cd 3.30
2 Cd 0.3293 0.8293 0.0000  6 Sb 3.07-3.37, 1 Cd 3.30
3 Cd 0.6707 0.1707 0.0000  6 Sb 3.07-3.37, 1 Cd 3.30
4 Cd 0.8293 0.6707 0.0000  6 Sb 3.07-3.37, 1 Cd 3.30
5 Sb 0.1523 0.6523 0.5000  2 Ru 2.59
6 Sb 0.3477 0.1523 0.5000  2 Ru 2.59
7 Sb 0.6523 0.8477 0.5000  2 Ru 2.59
8 Sb 0.8477 0.3477 0.5000  2 Ru 2.59
9 Ru 0.0000 0.0000 0.5000  4 Sb 2.59
10 Ru 0.5000 0.5000 0.5000  4 Sb 2.59

Output
**Calculated total energy**: -3.672 eV per atom
**Magnetization**: 0.0 μB per formula unit
**Energy above the most stable polymorph in this dataset**: 0 meV/atom



[4]
Density functional theory data (PBE) for Cd2Sb2Ru after structural relaxation.

Unit cell a=9.8019 b=9.8019 c=9.8019 alpha=158.54 beta=158.54 gamma=30.53
Closest atoms and distances in Å follow each position.
Element x y z (fractional)
1 Cd 0.2500 0.7500 0.5000  4 Cd 2.58
2 Cd 0.7500 0.2500 0.5000  4 Cd 2.58
3 Sb 0.0785 0.0785 0.0000  1 Sb 2.97, 4 Ru 2.98
4 Sb 0.9215 0.9215 0.0000  1 Sb 2.97, 4 Ru 2.98
5 Ru 0.5000 0.5000 0.0000  8 Sb 2.98

Output
**Calculated total energy**: -3.466 eV per atom
**Magnetization**: 0.8 μB per formula unit
**Energy above the most stable polymorph in this dataset**: 206 meV/atom